This record from Alexandria describes an optimized crystal structure of DyHf2Mn. The functional is PBE-GGA.

The formation energy from the elements is 0.044 eV/atom. The value obtained for the energy is -8.38 eV/atom.

abc: 3.2060 3.2060 8.2429
angles: 90.00 90.00 90.00
Last column: nearest neighbours and their distance in Å.
Space group P4/mmm (No. 123)
Unique sites:
Dy: 0.0000 0.0000 0.0000 x1  4 Dy 3.21, 8 Hf 3.47
Hf: 0.5000 0.5000 0.3183 x2  4 Mn 2.72, 1 Hf 3.00
Mn: 0.0000 0.0000 0.5000 x1  8 Hf 2.72